An optimized crystal structure of KHg2Pt. Source: Alexandria, functional PBE-GGA.

Values from the calculation:
Raw total energy = -7.06 eV for the cell shown
Calculated formation energy = 0.169 eV/atom
Total magnetic moment = 0.00 μB per formula unit

a b c (Å): 5.486 5.486 3.144
angles (deg): 90.00 90.00 101.34
Fractional coordinates of all 4 atoms:
K 0.000 0.000 0.000
Hg 0.000 0.500 0.500
Hg 0.500 0.000 0.500
Pt 0.500 0.500 0.000